Density functional theory data (PBE) for a geometry-optimized Mn3PAu structure.

Computed properties:
- SG = No. 221
- DOS at the Fermi energy (states/eV/f.u.) = 6.6
- energy relative to the lowest polymorph listed for this composition (eV per atom) = 0.000

```
Mn3PAu
1.0
4.136 0.000 0.000
0.000 4.136 0.000
0.000 0.000 4.136
P Mn Au
1 3 1
direct
0.000 0.000 0.000
0.000 0.500 0.000
0.000 0.000 0.500
0.500 0.000 0.000
0.500 0.500 0.500
```